Arrangement one

Crystalline CuPt2S4 at its relaxed geometry, computed with PBE.

Cell: 6.9943 6.2793 6.4729 Å, 64.69 90.00 90.00°
With the nearest neighbours (Å) after each atom.
Atoms (fractional coordinates):
S 0.2685 0.7843 0.7696  1 Cu 2.31, 3 Pt 2.34-2.41
S 0.5000 0.7387 0.2148  3 Pt 2.40-2.44
S 0.2685 0.2157 0.2304  1 Cu 2.31, 3 Pt 2.34-2.41
S 0.0000 0.2532 0.7552  2 Cu 2.35-2.38, 2 Pt 2.43
S 0.5000 0.2613 0.7852  3 Pt 2.40-2.44
S 0.7315 0.2157 0.2304  1 Cu 2.31, 3 Pt 2.34-2.41
S 0.7315 0.7843 0.7696  1 Cu 2.31, 3 Pt 2.34-2.41
S 0.0000 0.7468 0.2448  2 Cu 2.35-2.38, 2 Pt 2.43
Cu 0.0000 0.3376 0.3594  4 S 2.31-2.38
Cu 0.0000 0.6624 0.6406  4 S 2.31-2.38
Pt 0.5000 0.5000 0.0000  6 S 2.40-2.44
Pt 0.2484 0.0000 0.0000  6 S 2.40-2.43
Pt 0.7516 0.0000 0.0000  6 S 2.40-2.43
Pt 0.5000 0.0000 0.5000  4 S 2.34

- SG: P2/m, No. 10

---

Arrangement two

Crystalline CuPt2S4 at its relaxed geometry, computed with PBE.

Cell: 7.1067 7.1093 12.3227 Å, 106.77 90.00 119.99°
With the nearest neighbours (Å) after each atom.
Atoms (fractional coordinates):
S 0.6023 0.2411 0.3795  1 Cu 2.33, 3 Pt 2.43
S 0.1024 0.2411 0.8795  1 Cu 2.33, 3 Pt 2.43
S 0.8614 0.2228 0.6202  1 Cu 2.34, 3 Pt 2.42-2.43
S 0.3612 0.7589 0.1205  1 Cu 2.33, 3 Pt 2.43
S 0.6295 0.7590 0.3884  1 Cu 2.34, 3 Pt 2.43
S 0.1387 0.2411 0.3795  1 Cu 2.33, 3 Pt 2.43
S 0.3977 0.7589 0.6205  1 Cu 2.33, 3 Pt 2.43
S 0.1295 0.7590 0.8884  1 Cu 2.34, 3 Pt 2.43
S 0.3614 0.2228 0.1202  1 Cu 2.34, 3 Pt 2.42-2.43
S 0.6386 0.7772 0.8798  1 Cu 2.34, 3 Pt 2.42-2.43
S 0.8705 0.2410 0.1116  1 Cu 2.34, 3 Pt 2.43
S 0.8976 0.7589 0.1205  1 Cu 2.33, 3 Pt 2.43
S 0.8613 0.7589 0.6205  1 Cu 2.33, 3 Pt 2.43
S 0.1386 0.7772 0.3798  1 Cu 2.34, 3 Pt 2.42-2.43
S 0.3705 0.2410 0.6116  1 Cu 2.34, 3 Pt 2.43
S 0.6388 0.2411 0.8795  1 Cu 2.33, 3 Pt 2.43
Pt 0.5000 0.5000 0.5000  6 S 2.43
Pt 0.5000 0.0000 0.5000  6 S 2.42-2.43
Pt 0.0000 0.0000 0.5000  6 S 2.42-2.43
Pt 0.7500 0.0000 0.7500  6 S 2.43
Pt 0.2500 0.0000 0.2500  6 S 2.43
Pt 0.5000 0.0000 0.0000  6 S 2.42-2.43
Pt 0.0000 0.5000 0.0000  6 S 2.43
Pt 0.0000 0.0000 0.0000  6 S 2.42-2.43
Cu 0.4373 0.3744 0.8126  4 S 2.33-2.34
Cu 0.9372 0.3744 0.3126  4 S 2.33-2.34
Cu 0.5627 0.6256 0.1874  4 S 2.33-2.34
Cu 0.0628 0.6256 0.6874  4 S 2.33-2.34

- SG: Imma, No. 74

---

Which is the most stable structure? arrangement one is the most stable.

---

Arrangement one

Crystalline Cu2PtS2 at its relaxed geometry, computed with PBE.

Cell: 3.4545 3.4545 6.7946 Å, 75.27 75.27 90.00°
With the nearest neighbours (Å) after each atom.
Atoms (fractional coordinates):
Pt 0.0000 0.0000 0.0000  8 S 2.86
Cu 0.2500 0.7500 0.5000  4 S 2.41, 4 Cu 2.44
Cu 0.7500 0.2500 0.5000  4 S 2.41, 4 Cu 2.44
S 0.6175 0.6175 0.7649  4 Cu 2.41
S 0.3825 0.3825 0.2351  4 Cu 2.41

- SG: I4/mmm, No. 139

---

Arrangement two

Crystalline Cu2PtS2 at its relaxed geometry, computed with PBE.

Cell: 6.5710 6.5710 3.4915 Å, 90.00 90.00 90.00°
With the nearest neighbours (Å) after each atom.
Atoms (fractional coordinates):
Cu 0.1427 0.6427 0.5000  2 S 2.43, 1 Cu 2.65
Cu 0.8573 0.3573 0.5000  2 S 2.43, 1 Cu 2.65
Cu 0.3573 0.1427 0.5000  2 S 2.43, 1 Cu 2.65
Cu 0.6427 0.8573 0.5000  2 S 2.43, 1 Cu 2.65
Pt 0.0000 0.0000 0.0000  4 S 2.42
Pt 0.5000 0.5000 0.0000  4 S 2.42
S 0.8248 0.6752 0.0000  2 Pt 2.42, 2 Cu 2.43
S 0.3248 0.8248 0.0000  2 Pt 2.42, 2 Cu 2.43
S 0.1752 0.3248 0.0000  2 Pt 2.42, 2 Cu 2.43
S 0.6752 0.1752 0.0000  2 Pt 2.42, 2 Cu 2.43

- SG: P4/mbm, No. 127

---

Which is the most stable structure? arrangement two is the most stable.

---

Arrangement one

Crystalline CuSb4Pt at its relaxed geometry, computed with PBE.

Cell: 6.5453 6.5476 6.4972 Å, 90.00 89.95 90.00°
With the nearest neighbours (Å) after each atom.
Atoms (fractional coordinates):
Sb 0.1275 0.8678 0.6250  2 Cu 2.68-2.71, 1 Pt 2.72, 1 Sb 2.90
Sb 0.8725 0.6265 0.1283  1 Cu 2.69, 2 Pt 2.71, 1 Sb 2.88
Sb 0.8725 0.1322 0.3750  2 Cu 2.68-2.71, 1 Pt 2.72, 1 Sb 2.90
Sb 0.6275 0.1265 0.8717  1 Cu 2.69, 2 Pt 2.71, 1 Sb 2.88
Sb 0.6275 0.6322 0.6250  2 Cu 2.68-2.71, 1 Pt 2.72, 1 Sb 2.90
Sb 0.1275 0.3735 0.8717  1 Cu 2.69, 2 Pt 2.71, 1 Sb 2.88
Sb 0.3725 0.8735 0.1283  1 Cu 2.69, 2 Pt 2.71, 1 Sb 2.88
Sb 0.3725 0.3678 0.3750  2 Cu 2.68-2.71, 1 Pt 2.72, 1 Sb 2.90
Cu 0.5000 0.0000 0.5000  6 Sb 2.68-2.71
Cu 0.0000 0.5000 0.5000  6 Sb 2.68-2.71
Pt 0.5000 0.5000 0.0000  6 Sb 2.71-2.72
Pt 0.0000 0.0000 0.0000  6 Sb 2.71-2.72

- SG: P2_1/c, No. 14

---

Arrangement two

Crystalline CuSb4Pt at its relaxed geometry, computed with PBE.

Cell: 6.0346 6.0346 6.0346 Å, 60.00 60.00 60.00°
With the nearest neighbours (Å) after each atom.
Atoms (fractional coordinates):
Sb 0.3755 0.3755 0.3755  6 Sb 3.00-3.03
Sb 0.3755 0.3755 0.8734  6 Sb 3.00-3.03
Sb 0.3755 0.8734 0.3755  6 Sb 3.00-3.03
Sb 0.8734 0.3755 0.3755  6 Sb 3.00-3.03
Cu 0.7500 0.7500 0.7500  12 Sb 3.54, 4 Pt 3.70
Pt 0.0000 0.0000 0.0000  12 Sb 3.54, 4 Cu 3.70

- SG: F-43m, No. 216

---

Which is the most stable structure? arrangement one is the most stable.

---

Arrangement one

Crystalline Cu2SbPt2 at its relaxed geometry, computed with PBE.

Cell: 7.3420 7.3420 2.9876 Å, 90.00 90.00 90.00°
With the nearest neighbours (Å) after each atom.
Atoms (fractional coordinates):
Cu 0.1551 0.6551 0.5000  6 Pt 2.60-2.63
Cu 0.6551 0.8449 0.5000  6 Pt 2.60-2.63
Cu 0.8449 0.3449 0.5000  6 Pt 2.60-2.63
Cu 0.3449 0.1551 0.5000  6 Pt 2.60-2.63
Pt 0.1402 0.3598 0.0000  6 Cu 2.60-2.63, 2 Sb 2.84
Pt 0.3598 0.8598 0.0000  6 Cu 2.60-2.63, 2 Sb 2.84
Pt 0.8598 0.6402 0.0000  6 Cu 2.60-2.63, 2 Sb 2.84
Pt 0.6402 0.1402 0.0000  6 Cu 2.60-2.63, 2 Sb 2.84
Sb 0.0000 0.0000 0.0000  4 Pt 2.84, 2 Sb 2.99, 8 Cu 3.15
Sb 0.5000 0.5000 0.0000  4 Pt 2.84, 2 Sb 2.99, 8 Cu 3.15

- SG: P4/mbm, No. 127

---

Arrangement two

Crystalline Cu2SbPt2 at its relaxed geometry, computed with PBE.

Cell: 7.3349 7.3349 2.9704 Å, 90.00 90.00 90.00°
With the nearest neighbours (Å) after each atom.
Atoms (fractional coordinates):
Pt 0.3312 0.1688 0.5000  6 Cu 2.61-2.64
Pt 0.8312 0.3312 0.5000  6 Cu 2.61-2.64
Pt 0.6688 0.8312 0.5000  6 Cu 2.61-2.64
Pt 0.1688 0.6688 0.5000  6 Cu 2.61-2.64
Cu 0.8753 0.6247 0.0000  1 Cu 2.59, 6 Pt 2.61-2.64
Cu 0.1247 0.3753 0.0000  1 Cu 2.59, 6 Pt 2.61-2.64
Cu 0.3753 0.8753 0.0000  1 Cu 2.59, 6 Pt 2.61-2.64
Cu 0.6247 0.1247 0.0000  1 Cu 2.59, 6 Pt 2.61-2.64
Sb 0.0000 0.0000 0.0000  4 Cu 2.90, 2 Sb 2.97, 8 Pt 3.10
Sb 0.5000 0.5000 0.0000  4 Cu 2.90, 2 Sb 2.97, 8 Pt 3.10

- SG: P4/mbm, No. 127

---

Which is the most stable structure? arrangement one is the most stable.

---

Arrangement one

Crystalline Sc2Cu2Pt at its relaxed geometry, computed with PBE.

Cell: 3.3494 3.3494 8.2248 Å, 78.25 78.25 90.00°
With the nearest neighbours (Å) after each atom.
Atoms (fractional coordinates):
Cu 0.2500 0.7500 0.5000  4 Cu 2.37
Cu 0.7500 0.2500 0.5000  4 Cu 2.37
Sc 0.3983 0.3983 0.2034  4 Pt 2.86, 4 Cu 2.87
Sc 0.6017 0.6017 0.7966  4 Pt 2.86, 4 Cu 2.87
Pt 0.0000 0.0000 0.0000  8 Sc 2.86

- SG: I4/mmm, No. 139

---

Arrangement two

Crystalline Sc2Cu2Pt at its relaxed geometry, computed with PBE.

Cell: 7.2124 7.2124 3.4450 Å, 90.00 90.00 90.00°
With the nearest neighbours (Å) after each atom.
Atoms (fractional coordinates):
Cu 0.3749 0.1251 0.5000  1 Cu 2.55, 6 Sc 2.73-2.74
Cu 0.8749 0.3749 0.5000  1 Cu 2.55, 6 Sc 2.73-2.74
Cu 0.1251 0.6251 0.5000  1 Cu 2.55, 6 Sc 2.73-2.74
Cu 0.6251 0.8749 0.5000  1 Cu 2.55, 6 Sc 2.73-2.74
Pt 0.0000 0.0000 0.0000  4 Sc 2.69
Pt 0.5000 0.5000 0.0000  4 Sc 2.69
Sc 0.1662 0.3338 0.0000  2 Pt 2.69, 6 Cu 2.73-2.74
Sc 0.6662 0.1662 0.0000  2 Pt 2.69, 6 Cu 2.73-2.74
Sc 0.8338 0.6662 0.0000  2 Pt 2.69, 6 Cu 2.73-2.74
Sc 0.3338 0.8338 0.0000  2 Pt 2.69, 6 Cu 2.73-2.74

- SG: P4/mbm, No. 127

---

Arrangement three

Crystalline Sc2Cu2Pt at its relaxed geometry, computed with PBE.

Cell: 5.0971 5.0961 5.9024 Å, 54.79 54.81 44.97°
With the nearest neighbours (Å) after each atom.
Atoms (fractional coordinates):
Sc 0.7219 0.2219 0.2780  6 Cu 2.70-2.81, 2 Pt 2.83
Sc 0.2781 0.7781 0.7220  6 Cu 2.70-2.81, 2 Pt 2.83
Cu 0.9998 0.4998 0.7001  1 Cu 2.36, 2 Pt 2.63
Cu 0.0002 0.5002 0.2999  1 Cu 2.36, 2 Pt 2.63
Pt 0.5000 0.0000 0.0000  4 Cu 2.63, 4 Sc 2.83

- SG: C2/m, No. 12

---

Arrangement four

Crystalline Sc2Cu2Pt at its relaxed geometry, computed with PBE.

Cell: 4.9853 4.9853 5.0511 Å, 60.43 60.43 90.00°
With the nearest neighbours (Å) after each atom.
Atoms (fractional coordinates):
Pt 0.0000 0.0000 0.0000  2 Cu 2.53
Cu 0.3499 0.3499 0.3002  1 Cu 2.17
Cu 0.6501 0.6501 0.6998  1 Cu 2.17
Sc 0.7500 0.2500 0.5000  4 Cu 2.60
Sc 0.2500 0.7500 0.5000  4 Cu 2.60

- SG: I4/mmm, No. 139

---

Which is the most stable structure? arrangement three is the most stable.

---

Arrangement one

Crystalline ScCu2Pt2 at its relaxed geometry, computed with PBE.

Cell: 3.5200 3.5200 7.0091 Å, 75.46 75.46 90.00°
With the nearest neighbours (Å) after each atom.
Atoms (fractional coordinates):
Pt 0.3971 0.3971 0.2058  4 Cu 2.61, 1 Pt 2.70, 4 Sc 2.83
Pt 0.6029 0.6029 0.7942  4 Cu 2.61, 1 Pt 2.70, 4 Sc 2.83
Cu 0.2500 0.7500 0.5000  4 Cu 2.49, 4 Pt 2.61
Cu 0.7500 0.2500 0.5000  4 Cu 2.49, 4 Pt 2.61
Sc 0.0000 0.0000 0.0000  8 Pt 2.83

- SG: I4/mmm, No. 139

---

Arrangement two

Crystalline ScCu2Pt2 at its relaxed geometry, computed with PBE.

Cell: 3.8763 3.8763 6.1194 Å, 71.54 71.54 90.00°
With the nearest neighbours (Å) after each atom.
Atoms (fractional coordinates):
Pt 0.7500 0.2500 0.5000  4 Cu 2.53, 4 Pt 2.74
Pt 0.2500 0.7500 0.5000  4 Cu 2.53, 4 Pt 2.74
Cu 0.6019 0.6019 0.7961  1 Cu 2.23
Cu 0.3981 0.3981 0.2039  1 Cu 2.23
Sc 0.0000 0.0000 0.0000  8 Cu 2.96

- SG: I4/mmm, No. 139

---

Arrangement three

Crystalline ScCu2Pt2 at its relaxed geometry, computed with PBE.

Cell: 7.2244 7.2244 2.9884 Å, 90.00 90.00 90.00°
With the nearest neighbours (Å) after each atom.
Atoms (fractional coordinates):
Cu 0.1565 0.6565 0.5000  6 Pt 2.55-2.62
Cu 0.3435 0.1565 0.5000  6 Pt 2.55-2.62
Cu 0.8435 0.3435 0.5000  6 Pt 2.55-2.62
Cu 0.6565 0.8435 0.5000  6 Pt 2.55-2.62
Sc 0.5000 0.5000 0.0000  4 Pt 2.79, 2 Sc 2.99, 8 Cu 3.11
Sc 0.0000 0.0000 0.0000  4 Pt 2.79, 2 Sc 2.99, 8 Cu 3.11
Pt 0.8591 0.6409 0.0000  6 Cu 2.55-2.62, 2 Sc 2.79
Pt 0.3591 0.8591 0.0000  6 Cu 2.55-2.62, 2 Sc 2.79
Pt 0.6409 0.1409 0.0000  6 Cu 2.55-2.62, 2 Sc 2.79
Pt 0.1409 0.3591 0.0000  6 Cu 2.55-2.62, 2 Sc 2.79

- SG: P4/mbm, No. 127

---

Which is the most stable structure? arrangement one is the most stable.

---

Arrangement one

Crystalline ScCuPt3 at its relaxed geometry, computed with PBE.

Cell: 4.5719 4.5719 4.5719 Å, 90.00 90.00 90.00°
With the nearest neighbours (Å) after each atom.
Atoms (fractional coordinates):
Cu 0.0000 0.0000 0.0000  6 Pt 2.29
Sc 0.5000 0.5000 0.5000  12 Pt 3.23
Pt 0.0000 0.0000 0.5000  2 Cu 2.29
Pt 0.0000 0.5000 0.0000  2 Cu 2.29
Pt 0.5000 0.0000 0.0000  2 Cu 2.29

- SG: Pm-3m, No. 221

---

Arrangement two

Crystalline ScCuPt3 at its relaxed geometry, computed with PBE.

Cell: 3.9533 5.6015 8.5009 Å, 120.30 103.45 90.00°
With the nearest neighbours (Å) after each atom.
Atoms (fractional coordinates):
Sc 0.6071 0.6627 0.2141  9 Pt 2.70-2.90, 2 Cu 2.84
Sc 0.3929 0.3373 0.7859  9 Pt 2.70-2.90, 2 Cu 2.84
Pt 0.6048 0.1611 0.2096  3 Cu 2.69-2.75, 7 Pt 2.78-2.96, 2 Sc 2.79-2.81
Pt 0.7978 0.9385 0.5957  4 Cu 2.68-2.92, 3 Sc 2.70-2.78, 5 Pt 2.78-2.93
Pt 0.2022 0.0615 0.4043  4 Cu 2.68-2.92, 3 Sc 2.70-2.78, 5 Pt 2.78-2.93
Pt 0.3952 0.8389 0.7904  3 Cu 2.69-2.75, 7 Pt 2.78-2.96, 2 Sc 2.79-2.81
Pt 0.0048 0.2550 0.0095  7 Pt 2.78-2.93, 4 Sc 2.82-2.90, 1 Cu 2.83
Pt 0.9952 0.7450 0.9905  7 Pt 2.78-2.93, 4 Sc 2.82-2.90, 1 Cu 2.83
Cu 0.7950 0.4552 0.5899  2 Cu 2.67, 8 Pt 2.68-2.92, 2 Sc 2.84
Cu 0.2050 0.5448 0.4101  2 Cu 2.67, 8 Pt 2.68-2.92, 2 Sc 2.84

- SG: C2/m, No. 12

---

Arrangement three

Crystalline ScCuPt3 at its relaxed geometry, computed with PBE.

Cell: 4.7852 4.7852 4.7852 Å, 90.00 90.00 90.00°
With the nearest neighbours (Å) after each atom.
Atoms (fractional coordinates):
Pt 0.0000 0.5000 0.0000  2 Sc 2.39
Pt 0.5000 0.0000 0.0000  2 Sc 2.39
Pt 0.0000 0.0000 0.5000  2 Sc 2.39
Sc 0.0000 0.0000 0.0000  6 Pt 2.39
Cu 0.5000 0.5000 0.5000  12 Pt 3.38

- SG: Pm-3m, No. 221

---

Which is the most stable structure? arrangement two is the most stable.

---

Arrangement one

Crystalline ScCu3Pt at its relaxed geometry, computed with PBE.

Cell: 4.6556 4.6556 4.6556 Å, 90.00 90.00 90.00°
With the nearest neighbours (Å) after each atom.
Atoms (fractional coordinates):
Pt 0.0000 0.0000 0.0000  6 Cu 2.33
Sc 0.5000 0.5000 0.5000  12 Cu 3.29
Cu 0.0000 0.0000 0.5000  2 Pt 2.33
Cu 0.0000 0.5000 0.0000  2 Pt 2.33
Cu 0.5000 0.0000 0.0000  2 Pt 2.33

- SG: Pm-3m, No. 221

---

Arrangement two

Crystalline ScCu3Pt at its relaxed geometry, computed with PBE.

Cell: 4.6240 4.6240 9.4963 Å, 104.09 104.09 90.00°
With the nearest neighbours (Å) after each atom.
Atoms (fractional coordinates):
Cu 0.1280 0.8764 0.2561  2 Cu 2.30-2.33, 2 Pt 2.46-2.56
Cu 0.1236 0.8720 0.7439  2 Cu 2.30-2.33, 2 Pt 2.46-2.56
Cu 0.6203 0.8720 0.7439  2 Cu 2.30-2.33, 2 Pt 2.46-2.56
Cu 0.3209 0.3209 0.6419  2 Pt 2.64, 4 Cu 2.74
Cu 0.1280 0.3797 0.2561  2 Cu 2.30-2.33, 2 Pt 2.46-2.56
Cu 0.6791 0.6791 0.3581  2 Pt 2.64, 4 Cu 2.74
Sc 0.5741 0.0741 0.1481  2 Pt 2.66, 6 Cu 2.76-2.98
Sc 0.9259 0.4259 0.8519  2 Pt 2.66, 6 Cu 2.76-2.98
Pt 0.2500 0.7500 0.5000  8 Cu 2.46-2.64
Pt 0.0000 0.0000 0.0000  4 Cu 2.56, 4 Sc 2.66

- SG: I-4m2, No. 119

---

Arrangement three

Crystalline ScCu3Pt at its relaxed geometry, computed with PBE.

Cell: 4.5323 4.5323 4.5323 Å, 90.00 90.00 90.00°
With the nearest neighbours (Å) after each atom.
Atoms (fractional coordinates):
Pt 0.5000 0.5000 0.5000  12 Cu 3.20
Cu 0.0000 0.0000 0.5000  2 Sc 2.27
Cu 0.0000 0.5000 0.0000  2 Sc 2.27
Cu 0.5000 0.0000 0.0000  2 Sc 2.27
Sc 0.0000 0.0000 0.0000  6 Cu 2.27

- SG: Pm-3m, No. 221

---

Which is the most stable structure? arrangement two is the most stable.